AgMoS4 (PBE, relaxed); ΔE_f (raw) = -0.278 eV per atom; E = -5.3098 eV/atom; ρ = 4048 kg/m3; symmetry = P-1 (2)
1.0
6.142 0.000 0.000
1.511 6.483 0.000
1.303 3.101 6.842
Ag Mo S
2 2 8
direct
0.038 0.340 0.417 Ag
0.962 0.660 0.583 Ag
0.217 0.001 0.001 Mo
0.783 0.999 0.999 Mo
0.059 0.002 0.722 S
0.066 0.649 0.097 S
0.428 0.157 0.158 S
0.492 0.814 0.263 S
0.508 0.186 0.737 S
0.572 0.843 0.842 S
0.934 0.351 0.903 S
0.941 0.998 0.278 S